Computed, not measured: SiOs2N after structural relaxation at the PBE-GGA level of DFT.

Cell and atoms, written as CIF:
```
data_SiOs2N
_space_group_name_H-M_alt 'P 1'
_space_group_IT_number 1
_cell_length_a 5.115
_cell_length_b 5.115
_cell_length_c 5.862
_cell_angle_alpha 64.13
_cell_angle_beta 64.13
_cell_angle_gamma 90.00
loop_
_space_group_symop_operation_xyz
'x,y,z'
loop_
_atom_site_label
_atom_site_type_symbol
_atom_site_fract_x
_atom_site_fract_y
_atom_site_fract_z
N1 N 0.250 0.750 0.500
Os1 Os 0.875 0.807 0.750
Si1 Si 0.000 0.000 0.000
Os2 Os 0.375 0.443 0.750
Si2 Si 0.750 0.250 0.500
N2 N 0.500 0.500 0.000
Os3 Os 0.557 0.125 0.250
Os4 Os 0.193 0.625 0.250
```

Output
ΔE to the lowest computed polymorph: 0.0000 eV per atom
magnetization: 0.000 μB/atom
formation energy from raw total energies: 0.49 eV/atom
D(E_F): 3.32 states/eV/f.u.